Record 1
Here is crystalline Dy4HgIrAu2 at its relaxed geometry from Alexandria via LeMat-Bulk. Energies are from PBE.

Geometry as CIF:
```
data_Dy4HgIrAu2
_chemical_formula_sum 'Dy12 Hg3 Ir3 Au6'
_cell_length_a 5.0759
_cell_length_b 5.0759
_cell_length_c 24.7994
_cell_angle_alpha 90.00
_cell_angle_beta 90.00
_cell_angle_gamma 120.00
_space_group_name_H-M_alt 'R -3 m'
_space_group_IT_number 166
_space_group_name_Hall '-R 3 2"'
loop_
_atom_site_label
_atom_site_type_symbol
_atom_site_fract_x
_atom_site_fract_y
_atom_site_fract_z
_atom_site_occupancy
Dy1 Dy 0.0000 0.0000 0.1164 1
Dy2 Dy 0.0000 0.0000 0.3682 1
Hg1 Hg 0.0000 0.0000 0.5000 1
Ir1 Ir 0.0000 0.0000 0.0000 1
Au1 Au 0.0000 0.0000 0.2414 1
```

***

Record 2
Here is crystalline LiDyHgAu at its relaxed geometry from Alexandria via LeMat-Bulk. Energies are from PBE.

Geometry as CIF:
```
data_LiDyHgAu
_chemical_formula_sum 'Li4 Dy4 Hg4 Au4'
_cell_length_a 6.9826
_cell_length_b 6.9826
_cell_length_c 6.9826
_cell_angle_alpha 90.00
_cell_angle_beta 90.00
_cell_angle_gamma 90.00
_space_group_name_H-M_alt 'F -4 3 m'
_space_group_IT_number 216
_space_group_name_Hall 'F -4 2 3'
loop_
_atom_site_label
_atom_site_type_symbol
_atom_site_fract_x
_atom_site_fract_y
_atom_site_fract_z
_atom_site_occupancy
Li1 Li 0.0000 0.0000 0.0000 1
Dy1 Dy 0.0000 0.0000 0.5000 1
Hg1 Hg 0.2500 0.2500 0.2500 1
Au1 Au 0.2500 0.2500 0.7500 1
```

***

Record 3
Here is crystalline LiDy2HgAu4 at its relaxed geometry from Alexandria via LeMat-Bulk. Energies are from PBE.

Geometry as CIF:
```
data_LiDy2HgAu4
_chemical_formula_sum 'Li3 Dy6 Hg3 Au12'
_cell_length_a 4.9315
_cell_length_b 4.9315
_cell_length_c 23.7171
_cell_angle_alpha 90.00
_cell_angle_beta 90.00
_cell_angle_gamma 120.00
_space_group_name_H-M_alt 'R -3 m'
_space_group_IT_number 166
_space_group_name_Hall '-R 3 2"'
loop_
_atom_site_label
_atom_site_type_symbol
_atom_site_fract_x
_atom_site_fract_y
_atom_site_fract_z
_atom_site_occupancy
Li1 Li 0.0000 0.0000 0.0000 1
Dy1 Dy 0.0000 0.0000 0.2455 1
Hg1 Hg 0.0000 0.0000 0.5000 1
Au1 Au 0.0000 0.0000 0.1155 1
Au2 Au 0.0000 0.0000 0.3693 1
```

***

Record 4
Here is crystalline DyMgHgAu at its relaxed geometry from Alexandria via LeMat-Bulk. Energies are from PBE.

Geometry as CIF:
```
data_DyMgHgAu
_chemical_formula_sum 'Dy4 Mg4 Hg4 Au4'
_cell_length_a 7.0447
_cell_length_b 7.0447
_cell_length_c 7.0447
_cell_angle_alpha 90.00
_cell_angle_beta 90.00
_cell_angle_gamma 90.00
_space_group_name_H-M_alt 'F -4 3 m'
_space_group_IT_number 216
_space_group_name_Hall 'F -4 2 3'
loop_
_atom_site_label
_atom_site_type_symbol
_atom_site_fract_x
_atom_site_fract_y
_atom_site_fract_z
_atom_site_occupancy
Dy1 Dy 0.0000 0.0000 0.0000 1
Mg1 Mg 0.0000 0.0000 0.5000 1
Hg1 Hg 0.2500 0.2500 0.7500 1
Au1 Au 0.2500 0.2500 0.2500 1
```

***

Record 5
Here is crystalline DyMnHgAu at its relaxed geometry from Alexandria via LeMat-Bulk. Energies are from PBE.

Geometry as CIF:
```
data_DyMnHgAu
_chemical_formula_sum 'Dy4 Mn4 Hg4 Au4'
_cell_length_a 6.9639
_cell_length_b 6.9639
_cell_length_c 6.9639
_cell_angle_alpha 90.00
_cell_angle_beta 90.00
_cell_angle_gamma 90.00
_space_group_name_H-M_alt 'F -4 3 m'
_space_group_IT_number 216
_space_group_name_Hall 'F -4 2 3'
loop_
_atom_site_label
_atom_site_type_symbol
_atom_site_fract_x
_atom_site_fract_y
_atom_site_fract_z
_atom_site_occupancy
Dy1 Dy 0.0000 0.0000 0.0000 1
Mn1 Mn 0.0000 0.0000 0.5000 1
Hg1 Hg 0.2500 0.2500 0.7500 1
Au1 Au 0.2500 0.2500 0.2500 1
```

***

Record 6
Here is crystalline NaDyHgAu at its relaxed geometry from Alexandria via LeMat-Bulk. Energies are from PBE.

Geometry as CIF:
```
data_NaDyHgAu
_chemical_formula_sum 'Na4 Dy4 Hg4 Au4'
_cell_length_a 7.1770
_cell_length_b 7.1770
_cell_length_c 7.1770
_cell_angle_alpha 90.00
_cell_angle_beta 90.00
_cell_angle_gamma 90.00
_space_group_name_H-M_alt 'F -4 3 m'
_space_group_IT_number 216
_space_group_name_Hall 'F -4 2 3'
loop_
_atom_site_label
_atom_site_type_symbol
_atom_site_fract_x
_atom_site_fract_y
_atom_site_fract_z
_atom_site_occupancy
Na1 Na 0.0000 0.0000 0.0000 1
Dy1 Dy 0.0000 0.0000 0.5000 1
Hg1 Hg 0.2500 0.2500 0.2500 1
Au1 Au 0.2500 0.2500 0.7500 1
```

***

Record 7
Here is crystalline NdDyHgAu at its relaxed geometry from Alexandria via LeMat-Bulk. Energies are from PBE.

Geometry as CIF:
```
data_NdDyHgAu
_chemical_formula_sum 'Nd4 Dy4 Hg4 Au4'
_cell_length_a 7.4395
_cell_length_b 7.4395
_cell_length_c 7.4395
_cell_angle_alpha 90.00
_cell_angle_beta 90.00
_cell_angle_gamma 90.00
_space_group_name_H-M_alt 'F -4 3 m'
_space_group_IT_number 216
_space_group_name_Hall 'F -4 2 3'
loop_
_atom_site_label
_atom_site_type_symbol
_atom_site_fract_x
_atom_site_fract_y
_atom_site_fract_z
_atom_site_occupancy
Nd1 Nd 0.0000 0.0000 0.0000 1
Dy1 Dy 0.0000 0.0000 0.5000 1
Hg1 Hg 0.2500 0.2500 0.2500 1
Au1 Au 0.2500 0.2500 0.7500 1
```

***

Record 8
# Dy4HgAuO, relaxed, DFT PBE
data_Dy4HgAuO
_chemical_formula_sum 'Dy16 Hg4 Au4 O4'
_cell_length_a 6.6364
_cell_length_b 15.0207
_cell_length_c 6.6288
_cell_angle_alpha 90.00
_cell_angle_beta 90.00
_cell_angle_gamma 90.00
_space_group_name_H-M_alt 'C m c m'
_space_group_IT_number 63
_space_group_name_Hall '-C 2c 2'
loop_
_atom_site_label
_atom_site_type_symbol
_atom_site_fract_x
_atom_site_fract_y
_atom_site_fract_z
_atom_site_occupancy
Dy1 Dy 0.0000 0.0651 0.2500 1
Dy2 Dy 0.0000 0.4241 0.2500 1
Dy3 Dy 0.2500 0.2500 0.0000 1
Hg1 Hg 0.0000 0.3827 0.7500 1
Au1 Au 0.0000 0.1215 0.7500 1
O1 O 0.0000 0.2550 0.2500 1
# Energy relative to the elements, uncorrected = -1.1995 eV/atom

***

| no. | magnetic moment (μB per cell) | DOS(E_F) (states/eV/f.u.) | final energy (eV/atom) |
| --- | --- | --- | --- |
| 1 | 0.0 | 4.7 | -5.04 |
| 2 | 0.0 | 3.6 | -3.08 |
| 3 | 0.0 | 5.5 | -3.74 |
| 4 | 0.0 | 1.9 | -3.07 |
| 5 | 17.8 | 3.3 | -4.62 |
| 6 | 0.0 | 2.6 | -2.82 |
| 7 | 0.0 | 2.8 | -3.86 |
| 8 | 0.0 | 6.4 | -5.05 |